# Li2NiSeO4 PBE with a Hubbard U optimized geometry
data_Li2NiSeO4
_chemical_formula_sum 'Li4 Ni2 Se2 O8'
_symmetry_space_group_name_H-M 'P 1'
_symmetry_Int_Tables_number 1
_symmetry_space_group_name_Hall 'P 1'
_cell_length_a 6.0412
_cell_length_b 6.0412
_cell_length_c 6.0650
_cell_angle_alpha 120.09
_cell_angle_beta 120.09
_cell_angle_gamma 89.49
loop_
_atom_site_label
_atom_site_type_symbol
_atom_site_fract_x
_atom_site_fract_y
_atom_site_fract_z
Li1 Li 0.5000 0.0000 0.0000
Li2 Li 0.5000 0.0000 0.5000
Li3 Li 0.0000 0.0000 0.5000
Li4 Li 0.5000 0.5000 0.0000
Ni1 Ni 0.0000 0.5000 0.0000
Ni2 Ni 0.0000 0.5000 0.5000
Se1 Se 0.5000 0.5000 0.5000
Se2 Se 0.0000 0.0000 0.0000
O1 O 0.2285 0.7511 0.9896
O2 O 0.7489 0.2715 0.5104
O3 O 0.2511 0.7285 0.4896
O4 O 0.7715 0.2489 0.0104
O5 O 0.7502 0.7493 0.9924
O6 O 0.7507 0.7498 0.5076
O7 O 0.2493 0.2502 0.4924
O8 O 0.2498 0.2507 0.0076
# Magnetic moment = 4.03 Bohr magnetons per cell
# SG = No. 74
# Energy = -39.383 eV/f.u.